1.
A plane-wave DFT calculation with GGA-PBE was carried out for a geometry-optimized Mn2SiAu structure.

```
4
Lattice="-0.223 -0.814 -4.556 -1.516 -3.703 2.337 -2.595 1.027 -0.056" Properties=species:S:1:pos:R:3 pbc="T T T"
Au -2.056 -1.338 1.140
Mn 0.000 0.000 0.000
Mn -0.870 -2.259 -1.110
Si -1.409 0.106 -2.306
```

Summary:
- Formation energy without anion corrections: 0.022 eV/atom
- Magnetic moment: 5.6 μB per formula unit
- Fermi-level density of states: 2.8 states/eV/f.u.
- ρ: 9.87 Mg/m³
- VASP energy: -26.95 eV/cell



2.
A plane-wave DFT calculation with GGA-PBE was carried out for a geometry-optimized Mn2SiAu structure.

```
4
Lattice="3.602 0.000 0.000 0.000 2.887 0.263 0.000 0.938 5.666" Properties=species:S:1:pos:R:3 pbc="T T T"
Au 1.801 2.322 4.453
Mn 0.000 2.700 0.307
Mn 1.801 1.118 1.701
Si 0.000 2.484 2.695
```

Summary:
- Formation energy without anion corrections: -0.027 eV/atom
- Magnetic moment: 5.6 μB per formula unit
- Fermi-level density of states: 2.1 states/eV/f.u.
- ρ: 9.58 Mg/m³
- VASP energy: -27.15 eV/cell



3.
A plane-wave DFT calculation with GGA-PBE was carried out for a geometry-optimized MnSiAu structure.

```
3
Lattice="-0.263 1.427 -2.464 -2.224 -1.457 1.052 -1.871 5.162 3.190" Properties=species:S:1:pos:R:3 pbc="T T T"
Au -0.003 0.008 0.005
Mn -2.233 1.333 1.010
Si -2.122 3.791 0.763
```

Summary:
- Formation energy without anion corrections: 0.148 eV/atom
- Magnetic moment: 2.8 μB per formula unit
- Fermi-level density of states: 2.7 states/eV/f.u.
- ρ: 10.34 Mg/m³
- VASP energy: -17.43 eV/cell



4.
A plane-wave DFT calculation with GGA-PBE was carried out for a geometry-optimized MnSiAu structure.

```
3
Lattice="5.204 -0.029 0.011 3.389 3.949 -0.011 -4.109 -2.371 2.139" Properties=species:S:1:pos:R:3 pbc="T T T"
Au 0.009 0.004 0.000
Mn 2.635 1.202 0.000
Si 5.950 2.714 0.000
```

Summary:
- Formation energy without anion corrections: 0.082 eV/atom
- Magnetic moment: 2.5 μB per formula unit
- Fermi-level density of states: 2.0 states/eV/f.u.
- ρ: 10.53 Mg/m³
- VASP energy: -17.62 eV/cell



5.
A plane-wave DFT calculation with GGA-PBE was carried out for a geometry-optimized MnSiAu2 structure.

```
4
Lattice="-0.397 -2.909 2.226 0.141 -1.759 -2.274 6.053 -1.227 -0.524" Properties=species:S:1:pos:R:3 pbc="T T T"
Au 6.063 -2.650 -2.381
Au 1.470 -2.100 0.568
Mn 3.401 -1.621 -1.512
Si 4.152 -4.005 -1.444
```

Summary:
- Formation energy without anion corrections: -0.033 eV/atom
- Magnetic moment: 2.9 μB per formula unit
- Fermi-level density of states: 2.0 states/eV/f.u.
- ρ: 12.40 Mg/m³
- VASP energy: -21.28 eV/cell



6.
A plane-wave DFT calculation with GGA-PBE was carried out for a geometry-optimized MnSiAu2 structure.

```
4
Lattice="4.916 -0.029 0.000 1.607 4.646 0.000 -3.262 -2.309 2.864" Properties=species:S:1:pos:R:3 pbc="T T T"
Au 0.000 0.000 0.000
Au 0.804 2.323 1.432
Mn 3.262 2.309 0.000
Si 2.458 -0.014 1.432
```

Summary:
- Formation energy without anion corrections: 0.119 eV/atom
- Magnetic moment: 4.0 μB per formula unit
- Fermi-level density of states: 1.8 states/eV/f.u.
- ρ: 12.08 Mg/m³
- VASP energy: -20.67 eV/cell



7.
A plane-wave DFT calculation with GGA-PBE was carried out for a geometry-optimized MnSiAu2 structure.

```
4
Lattice="8.522 -0.176 -0.103 8.033 2.851 -0.103 8.033 1.298 2.540" Properties=species:S:1:pos:R:3 pbc="T T T"
Au 0.030 0.005 0.003
Au 12.263 1.982 1.164
Mn 6.147 0.993 0.583
Si 18.440 2.980 1.750
```

Summary:
- Formation energy without anion corrections: 0.166 eV/atom
- Magnetic moment: 4.1 μB per formula unit
- Fermi-level density of states: 1.7 states/eV/f.u.
- ρ: 11.67 Mg/m³
- VASP energy: -20.49 eV/cell



8.
A plane-wave DFT calculation with GGA-PBE was carried out for a geometry-optimized MnSiAu2 structure.

```
4
Lattice="-0.809 2.653 0.356 -1.371 -0.813 2.936 5.803 1.356 3.086" Properties=species:S:1:pos:R:3 pbc="T T T"
Au 5.642 1.318 3.000
Au 0.520 1.296 2.502
Mn 3.139 0.734 1.670
Si 3.027 1.882 3.836
```

Summary:
- Formation energy without anion corrections: 0.045 eV/atom
- Magnetic moment: 2.8 μB per formula unit
- Fermi-level density of states: 1.6 states/eV/f.u.
- ρ: 12.63 Mg/m³
- VASP energy: -20.97 eV/cell



9.
A plane-wave DFT calculation with GGA-PBE was carried out for a geometry-optimized MnSiAu2 structure.

```
4
Lattice="-5.369 -3.003 0.436 -2.307 -4.972 -2.826 4.682 2.623 3.039" Properties=species:S:1:pos:R:3 pbc="T T T"
Au -0.527 -0.548 -0.164
Au -3.311 -3.440 -1.031
Mn -2.263 -2.184 1.140
Si -0.732 -3.168 -0.491
```

Summary:
- Formation energy without anion corrections: 0.030 eV/atom
- Magnetic moment: 2.9 μB per formula unit
- Fermi-level density of states: 1.5 states/eV/f.u.
- ρ: 11.73 Mg/m³
- VASP energy: -21.03 eV/cell



10.
A plane-wave DFT calculation with GGA-PBE was carried out for a geometry-optimized Mn2SiAu structure.

```
4
Lattice="8.552 0.001 0.000 8.087 2.782 0.000 8.087 1.352 2.431" Properties=species:S:1:pos:R:3 pbc="T T T"
Au 18.545 3.101 1.824
Mn 24.542 4.104 2.414
Mn 12.547 2.098 1.234
Si 6.182 1.034 0.608
```

Summary:
- Formation energy without anion corrections: 0.109 eV/atom
- Magnetic moment: 6.1 μB per formula unit
- Fermi-level density of states: 3.5 states/eV/f.u.
- ρ: 9.62 Mg/m³
- VASP energy: -26.60 eV/cell



11.
A plane-wave DFT calculation with GGA-PBE was carried out for a geometry-optimized Mn2SiAu structure.

```
4
Lattice="2.776 0.000 0.000 0.000 2.776 0.000 0.000 0.000 7.148" Properties=species:S:1:pos:R:3 pbc="T T T"
Au 1.388 1.388 5.379
Mn 0.000 0.000 0.280
Mn 1.388 1.388 1.809
Si 0.000 0.000 3.254
```

Summary:
- Formation energy without anion corrections: 0.070 eV/atom
- Magnetic moment: 1.8 μB per formula unit
- Fermi-level density of states: 4.0 states/eV/f.u.
- ρ: 10.09 Mg/m³
- VASP energy: -26.76 eV/cell



12.
A plane-wave DFT calculation with GGA-PBE was carried out for a geometry-optimized Mn2SiAu structure.

```
4
Lattice="-2.414 0.481 -1.802 -1.836 -0.091 2.434 0.643 5.874 0.705" Properties=species:S:1:pos:R:3 pbc="T T T"
Au -1.642 4.602 0.845
Mn 0.018 0.165 0.020
Mn -1.950 1.793 0.508
Si 0.289 2.641 0.317
```

Summary:
- Formation energy without anion corrections: 0.047 eV/atom
- Magnetic moment: 4.2 μB per formula unit
- Fermi-level density of states: 2.5 states/eV/f.u.
- ρ: 10.04 Mg/m³
- VASP energy: -26.85 eV/cell



13.
A plane-wave DFT calculation with GGA-PBE was carried out for a geometry-optimized MnSiAu2 structure.

```
4
Lattice="-0.460 -5.506 6.763 1.471 -6.892 5.159 2.313 -4.795 6.924" Properties=species:S:1:pos:R:3 pbc="T T T"
Au 0.029 -0.150 0.165
Au 0.804 -4.161 4.561
Mn 1.628 -8.422 9.232
Si 2.523 -13.056 14.311
```

Summary:
- Formation energy without anion corrections: 0.168 eV/atom
- Magnetic moment: 0.5 μB per formula unit
- Fermi-level density of states: 2.5 states/eV/f.u.
- ρ: 12.97 Mg/m³
- VASP energy: -20.48 eV/cell



14.
A plane-wave DFT calculation with GGA-PBE was carried out for a geometry-optimized MnSiAu structure.

```
3
Lattice="-2.480 -3.029 1.644 0.802 -4.085 -0.836 1.494 -2.539 3.058" Properties=species:S:1:pos:R:3 pbc="T T T"
Au -0.138 -7.240 2.899
Mn 0.000 0.000 0.000
Si -0.092 -4.827 1.933
```

Summary:
- Formation energy without anion corrections: 0.076 eV/atom
- Magnetic moment: 4.0 μB per formula unit
- Fermi-level density of states: 1.2 states/eV/f.u.
- ρ: 8.59 Mg/m³
- VASP energy: -17.64 eV/cell



15.
A plane-wave DFT calculation with GGA-PBE was carried out for a geometry-optimized MnSiAu2 structure.

```
4
Lattice="5.251 0.031 0.023 2.289 4.726 -0.023 -3.274 -3.165 2.615" Properties=species:S:1:pos:R:3 pbc="T T T"
Au 0.215 0.136 0.000
Au 2.849 -0.393 1.319
Mn 3.553 2.242 0.000
Si 1.419 1.986 1.296
```

Summary:
- Formation energy without anion corrections: 0.079 eV/atom
- Magnetic moment: 3.6 μB per formula unit
- Fermi-level density of states: 2.2 states/eV/f.u.
- ρ: 12.28 Mg/m³
- VASP energy: -20.83 eV/cell



16.
A plane-wave DFT calculation with GGA-PBE was carried out for a geometry-optimized MnSiAu2 structure.

```
8
Lattice="3.885 0.000 0.000 0.000 3.885 0.000 1.942 1.942 9.364" Properties=species:S:1:pos:R:3 pbc="T T T"
Si 1.942 1.942 0.000
Si 1.942 3.885 4.682
Mn 0.000 0.000 0.000
Mn 3.885 1.942 4.682
Au 2.902 0.971 2.341
Au 0.983 2.913 2.341
Au 2.913 2.925 7.023
Au 4.856 4.844 7.023
```

Summary:
- Formation energy without anion corrections: 0.196 eV/atom
- Magnetic moment: 3.7 μB per formula unit
- Fermi-level density of states: 1.9 states/eV/f.u.
- ρ: 11.21 Mg/m³
- VASP energy: -40.73 eV/cell



17.
A plane-wave DFT calculation with GGA-PBE was carried out for a geometry-optimized MnSiAu2 structure.

```
4
Lattice="3.481 0.000 0.000 0.000 3.478 0.000 0.000 0.000 5.532" Properties=species:S:1:pos:R:3 pbc="T T T"
Au 0.000 0.000 0.012
Au 0.000 0.000 2.754
Mn 1.741 1.739 1.383
Si 1.741 1.739 4.149
```

Summary:
- Formation energy without anion corrections: 0.067 eV/atom
- Magnetic moment: 4.1 μB per formula unit
- Fermi-level density of states: 1.2 states/eV/f.u.
- ρ: 11.82 Mg/m³
- VASP energy: -20.88 eV/cell



18.
A plane-wave DFT calculation with GGA-PBE was carried out for a geometry-optimized MnSiAu structure.

```
3
Lattice="-3.129 -0.681 4.824 -3.365 -3.190 3.421 1.832 -1.119 1.927" Properties=species:S:1:pos:R:3 pbc="T T T"
Au 1.814 -1.125 1.940
Mn -0.807 -1.991 3.929
Si -3.838 -2.992 6.229
```

Summary:
- Formation energy without anion corrections: 0.086 eV/atom
- Magnetic moment: 3.2 μB per formula unit
- Fermi-level density of states: 1.6 states/eV/f.u.
- ρ: 10.35 Mg/m³
- VASP energy: -17.61 eV/cell



19.
A plane-wave DFT calculation with GGA-PBE was carried out for a geometry-optimized MnSiAu2 structure.

```
4
Lattice="4.081 0.000 0.000 0.000 4.081 0.000 0.000 0.000 3.929" Properties=species:S:1:pos:R:3 pbc="T T T"
Au 0.000 0.000 0.000
Au 2.041 2.041 0.000
Mn 2.041 0.000 1.965
Si 0.000 2.041 1.965
```

Summary:
- Formation energy without anion corrections: 0.091 eV/atom
- Magnetic moment: 3.9 μB per formula unit
- Fermi-level density of states: 1.9 states/eV/f.u.
- ρ: 12.10 Mg/m³
- VASP energy: -20.78 eV/cell



20.
A plane-wave DFT calculation with GGA-PBE was carried out for a geometry-optimized MnSiAu2 structure.

```
4
Lattice="5.588 -0.027 0.014 -2.846 4.809 0.014 0.720 1.257 2.482" Properties=species:S:1:pos:R:3 pbc="T T T"
Au 0.000 0.000 0.000
Au 1.371 2.391 0.014
Mn 3.154 0.615 1.248
Si -1.063 3.033 1.248
```

Summary:
- Formation energy without anion corrections: 0.172 eV/atom
- Magnetic moment: 3.5 μB per formula unit
- Fermi-level density of states: 3.2 states/eV/f.u.
- ρ: 11.94 Mg/m³
- VASP energy: -20.46 eV/cell